1.
## PrAgSb2 (PBE)

Data for a geometry-optimized PrAgSb2 structure.

a b c (Å): 4.962 4.962 5.851
angles (deg): 64.91 64.91 60.00
Positions (direct):
Pr (0.500, 0.500, 0.500)
Sb (0.278, 0.278, 0.167)
Sb (0.722, 0.722, 0.833)
Ag (0.000, 0.000, 0.000)

Values from the calculation:
Crystal system: trigonal
Uncorrected formation energy, eV/atom: -0.375
D(E_F), states/eV per atom: 0.57
Electronic total energy, eV/atom: -4.344
Symmetry: R-3m (166)

***

2.
## ZnGaPt (PBE)

Data for a geometry-optimized ZnGaPt structure.

a b c (Å): 2.724 2.724 7.276
angles (deg): 100.79 100.79 90.00
Positions (direct):
Zn (0.773, 0.773, 0.545)
Ga (0.127, 0.127, 0.254)
Pt (0.950, 0.950, 0.901)

Values from the calculation:
Crystal system: tetragonal
D(E_F), states/eV per atom: 0.41
Electronic total energy, eV/atom: -3.411
Symmetry: I4mm (107)